(1)
The following is a DFT calculation (PBE) of a geometry-optimized In2ReC2 structure.

Values from the calculation:
DOS at the Fermi energy (states/eV/atom): 0.433
Calculated total energy (hartree per atom): -0.2375
E above lowest polymorph (meV per atom): 0
Total magnetic moment (μB per cell): 0.00
Energy relative to the elements (eV per atom): 0.811
V (Å³/atom): 15.6

Lattice parameters (Å, degrees): 5.398 5.398 5.362 90.00 90.00 90.00
Space group I4/mmm (No. 139)
Asymmetric unit:
In: 0.000 0.500 0.250
Re: 0.000 0.000 0.000
C: 0.000 0.000 0.373

(2)
The following is a DFT calculation (PBE) of a geometry-optimized Sc2InReC structure.

Values from the calculation:
DOS at the Fermi energy (states/eV/atom): 0.332
Calculated total energy (hartree per atom): -0.2889
Total magnetic moment (μB per cell): 0.00
Energy relative to the elements (eV per atom): -0.446
V (Å³/atom): 17.0

Lattice parameters (Å, degrees): 4.605 4.605 4.015 90.00 90.00 90.00
Space group P4/mmm (No. 123)
Asymmetric unit:
Sc: 0.000 0.500 0.000
In: 0.000 0.000 0.500
Re: 0.500 0.500 0.500
C: 0.500 0.500 0.000

(3)
The following is a DFT calculation (PBE) of a geometry-optimized In2ReSiC structure.

Values from the calculation:
Formation energy without anion corrections (meV per atom): 1567
DOS at the Fermi energy (states/eV/atom): 0.887
Calculated total energy (hartree per atom): -0.1818
Total magnetic moment (μB per cell): 0.00
V (Å³/atom): 19.5

Lattice parameters (Å, degrees): 5.482 5.482 3.238 90.00 90.00 90.00
Space group P4/mmm (No. 123)
Asymmetric unit:
In: 0.000 0.500 0.000
Re: 0.000 0.000 0.500
Si: 0.500 0.500 0.000
C: 0.500 0.500 0.500

(4)
The following is a DFT calculation (PBE) of a geometry-optimized SrInReC2 structure.

Values from the calculation:
DOS at the Fermi energy (states/eV/atom): 0.638
Calculated total energy (hartree per atom): -0.2234
Total magnetic moment (μB per cell): 0.02
Energy relative to the elements (eV per atom): 0.983
V (Å³/atom): 18.5

Lattice parameters (Å, degrees): 4.192 4.192 5.257 90.00 90.00 90.00
Space group P4/mmm (No. 123)
Asymmetric unit:
Sr: 0.000 0.000 0.000
In: 0.500 0.500 0.000
Re: 0.500 0.500 0.500
C: 0.000 0.500 0.500

(5)
The following is a DFT calculation (PBE) of a geometry-optimized ZrInRe2C structure.

Values from the calculation:
DOS at the Fermi energy (states/eV/atom): 0.693
Calculated total energy (hartree per atom): -0.2429
Total magnetic moment (μB per cell): 0.87
Energy relative to the elements (eV per atom): 2.473
V (Å³/atom): 19.8

Lattice parameters (Å, degrees): 5.028 5.028 3.917 90.00 90.00 90.00
Space group P4/mmm (No. 123)
Asymmetric unit:
Zr: 0.000 0.000 0.000
In: 0.500 0.500 0.500
Re: 0.000 0.500 0.500
C: 0.500 0.500 0.000

(6)
The following is a DFT calculation (PBE) of a geometry-optimized InRhC2 structure.

Values from the calculation:
DOS at the Fermi energy (states/eV/atom): 0.440
Calculated total energy (hartree per atom): -0.2239
Total magnetic moment (μB per cell): 0.00
Energy relative to the elements (eV per atom): 1.043
V (Å³/atom): 14.6

Lattice parameters (Å, degrees): 4.894 4.894 9.778 90.00 90.00 90.00
Space group I-42d (No. 122)
Asymmetric unit:
In: 0.000 0.000 0.000
Rh: 0.000 0.000 0.500
C: 0.196 0.250 0.625

(7)
The following is a DFT calculation (PBE) of a geometry-optimized In3RhC structure.

Values from the calculation:
DOS at the Fermi energy (states/eV/atom): 0.796
Calculated total energy (hartree per atom): -0.1497
E above lowest polymorph (meV per atom): 0
Total magnetic moment (μB per cell): 0.00
Energy relative to the elements (eV per atom): 0.885
V (Å³/atom): 19.2

Lattice parameters (Å, degrees): 4.577 4.577 4.577 90.00 90.00 90.00
Space group Pm-3m (No. 221)
Asymmetric unit:
In: 0.000 0.000 0.500
Rh: 0.500 0.500 0.500
C: 0.000 0.000 0.000

(8)
The following is a DFT calculation (PBE) of a geometry-optimized In3RhC structure.

Values from the calculation:
DOS at the Fermi energy (states/eV/atom): 0.366
Calculated total energy (hartree per atom): -0.1426
E above lowest polymorph (meV per atom): 193
Total magnetic moment (μB per cell): 2.35
Energy relative to the elements (eV per atom): 1.079
V (Å³/atom): 27.1

Lattice parameters (Å, degrees): 5.135 5.135 5.135 90.00 90.00 90.00
Space group Pm-3m (No. 221)
Asymmetric unit:
In: 0.000 0.000 0.500
Rh: 0.000 0.000 0.000
C: 0.500 0.500 0.500

(9)
The following is a DFT calculation (PBE) of a geometry-optimized InRhC3 structure.

Values from the calculation:
DOS at the Fermi energy (states/eV/atom): 0.693
Calculated total energy (hartree per atom): -0.1546
E above lowest polymorph (meV per atom): 1217
Total magnetic moment (μB per cell): 0.00
Energy relative to the elements (eV per atom): 3.345
V (Å³/atom): 15.1

Lattice parameters (Å, degrees): 4.226 4.226 4.226 90.00 90.00 90.00
Space group Pm-3m (No. 221)
Asymmetric unit:
In: 0.000 0.000 0.000
Rh: 0.500 0.500 0.500
C: 0.000 0.000 0.500

(10)
The following is a DFT calculation (PBE) of a geometry-optimized InRhC3 structure.

Values from the calculation:
DOS at the Fermi energy (states/eV/atom): 0.481
Calculated total energy (hartree per atom): -0.1993
E above lowest polymorph (meV per atom): 0
Total magnetic moment (μB per cell): 0.00
Energy relative to the elements (eV per atom): 2.128
V (Å³/atom): 13.4

Lattice parameters (Å, degrees): 4.060 4.060 4.060 90.00 90.00 90.00
Space group Pm-3m (No. 221)
Asymmetric unit:
In: 0.000 0.000 0.000
Rh: 0.500 0.500 0.500
C: 0.000 0.500 0.500

(11)
The following is a DFT calculation (PBE) of a geometry-optimized InRuRhC2 structure.

Values from the calculation:
DOS at the Fermi energy (states/eV/atom): 0.783
Calculated total energy (hartree per atom): -0.2190
Total magnetic moment (μB per cell): 0.97
Energy relative to the elements (eV per atom): 1.602
V (Å³/atom): 16.5

Lattice parameters (Å, degrees): 3.845 3.845 5.573 90.00 90.00 90.00
Space group P4/mmm (No. 123)
Asymmetric unit:
In: 0.000 0.000 0.000
Ru: 0.500 0.500 0.000
Rh: 0.500 0.500 0.500
C: 0.000 0.500 0.500

(12)
The following is a DFT calculation (PBE) of a geometry-optimized InRu2RhC structure.

Values from the calculation:
DOS at the Fermi energy (states/eV/atom): 0.595
Calculated total energy (hartree per atom): -0.2777
Total magnetic moment (μB per cell): 0.00
Energy relative to the elements (eV per atom): 0.017
V (Å³/atom): 13.9

Lattice parameters (Å, degrees): 4.115 4.115 4.097 90.00 90.00 90.00
Space group P4/mmm (No. 123)
Asymmetric unit:
In: 0.000 0.000 0.000
Ru: 0.000 0.500 0.500
Rh: 0.500 0.500 0.000
C: 0.500 0.500 0.500

(13)
The following is a DFT calculation (PBE) of a geometry-optimized In2TeRhC structure.

Values from the calculation:
Formation energy without anion corrections (meV per atom): 1862
DOS at the Fermi energy (states/eV/atom): 1.164
Calculated total energy (hartree per atom): -0.1167
Total magnetic moment (μB per cell): 2.38
V (Å³/atom): 34.9

Lattice parameters (Å, degrees): 5.984 5.984 4.872 90.00 90.00 90.00
Space group P4/mmm (No. 123)
Asymmetric unit:
In: 0.000 0.500 0.000
Te: 0.000 0.000 0.000
Rh: 0.000 0.000 0.500
C: 0.500 0.500 0.500

(14)
The following is a DFT calculation (PBE) of a geometry-optimized YInRhC2 structure.

Values from the calculation:
DOS at the Fermi energy (states/eV/atom): 0.705
Calculated total energy (hartree per atom): -0.1857
Total magnetic moment (μB per cell): 0.00
Energy relative to the elements (eV per atom): 1.948
V (Å³/atom): 20.7

Lattice parameters (Å, degrees): 4.459 4.459 5.197 90.00 90.00 90.00
Space group P4/mmm (No. 123)
Asymmetric unit:
Y: 0.000 0.000 0.000
In: 0.500 0.500 0.500
Rh: 0.000 0.000 0.500
C: 0.000 0.500 0.000

(15)
The following is a DFT calculation (PBE) of a geometry-optimized Y2InRhC structure.

Values from the calculation:
DOS at the Fermi energy (states/eV/atom): 0.727
Calculated total energy (hartree per atom): -0.2541
Total magnetic moment (μB per cell): 0.00
Energy relative to the elements (eV per atom): -0.466
V (Å³/atom): 20.2

Lattice parameters (Å, degrees): 5.034 5.034 3.986 90.00 90.00 90.00
Space group P4/mmm (No. 123)
Asymmetric unit:
Y: 0.000 0.500 0.000
In: 0.000 0.000 0.500
Rh: 0.500 0.500 0.500
C: 0.500 0.500 0.000

(16)
The following is a DFT calculation (PBE) of a geometry-optimized ZnInRhC2 structure.

Values from the calculation:
DOS at the Fermi energy (states/eV/atom): 0.523
Calculated total energy (hartree per atom): -0.1313
Total magnetic moment (μB per cell): 0.00
Energy relative to the elements (eV per atom): 2.389
V (Å³/atom): 18.2

Lattice parameters (Å, degrees): 4.193 4.193 5.170 90.00 90.00 90.00
Space group P4/mmm (No. 123)
Asymmetric unit:
Zn: 0.000 0.000 0.000
In: 0.500 0.500 0.500
Rh: 0.500 0.500 0.000
C: 0.000 0.500 0.500

(17)
The following is a DFT calculation (PBE) of a geometry-optimized In2Ru2C structure.

Values from the calculation:
DOS at the Fermi energy (states/eV/atom): 0.632
Calculated total energy (hartree per atom): -0.2293
E above lowest polymorph (meV per atom): 0
Total magnetic moment (μB per cell): 0.00
Energy relative to the elements (eV per atom): 0.410
V (Å³/atom): 15.7

Lattice parameters (Å, degrees): 5.732 5.732 4.787 90.00 90.00 90.00
Space group P4/mbm (No. 127)
Asymmetric unit:
In: 0.170 0.330 0.000
Ru: 0.179 0.679 0.500
C: 0.000 0.000 0.500

(18)
The following is a DFT calculation (PBE) of a geometry-optimized In3RuC structure.

Values from the calculation:
DOS at the Fermi energy (states/eV/atom): 0.701
Calculated total energy (hartree per atom): -0.1545
E above lowest polymorph (meV per atom): 0
Total magnetic moment (μB per cell): 0.00
Energy relative to the elements (eV per atom): 1.139
V (Å³/atom): 18.9

Lattice parameters (Å, degrees): 4.551 4.551 4.551 90.00 90.00 90.00
Space group Pm-3m (No. 221)
Asymmetric unit:
In: 0.000 0.000 0.500
Ru: 0.500 0.500 0.500
C: 0.000 0.000 0.000

(19)
The following is a DFT calculation (PBE) of a geometry-optimized InRu2C structure.

Values from the calculation:
DOS at the Fermi energy (states/eV/atom): 1.155
Calculated total energy (hartree per atom): -0.2302
E above lowest polymorph (meV per atom): 1013
Total magnetic moment (μB per cell): 0.00
Energy relative to the elements (eV per atom): 1.366
V (Å³/atom): 13.9

Lattice parameters (Å, degrees): 6.056 6.056 6.056 90.00 90.00 90.00
Space group Fm-3m (No. 225)
Asymmetric unit:
In: 0.000 0.000 0.000
Ru: 0.250 0.250 0.250
C: 0.000 0.000 0.500

(20)
The following is a DFT calculation (PBE) of a geometry-optimized InRuC2 structure.

Values from the calculation:
DOS at the Fermi energy (states/eV/atom): 0.410
Calculated total energy (hartree per atom): -0.2454
Total magnetic moment (μB per cell): 0.00
Energy relative to the elements (eV per atom): 0.938
V (Å³/atom): 14.6

Lattice parameters (Å, degrees): 4.989 4.989 9.407 90.00 90.00 90.00
Space group I-42d (No. 122)
Asymmetric unit:
In: 0.000 0.000 0.000
Ru: 0.000 0.000 0.500
C: 0.188 0.250 0.625